Entry 1:
Nd2MgO: relaxed, PBE-GGA.

Computed properties:
V   106.08 Å³/cell
VASP energy   -20.32 eV for the cell shown
Crystal system   trigonal
Raw formation energy   -408 kJ/mol of formula units
Fermi-level density of states   0.926 states/eV per atom
Density   5.15 Mg/m³

a b c (Å): 9.5740 9.5740 9.5740
angles (deg): 21.80 21.80 21.80
Last column: nearest neighbours and their distance in Å.
Sites, in units of the cell vectors:
Nd 0.1182 0.1182 0.1182  3 O 2.49
Nd 0.8818 0.8818 0.8818  3 O 2.49
Mg 0.0000 0.0000 0.0000  2 Nd 3.31, 6 Mg 3.62
O 0.5000 0.5000 0.5000  6 Nd 2.49

=====

Entry 2:
Nd4Mg2O: relaxed, PBE-GGA.

Computed properties:
V   201.08 Å³/cell
VASP energy   -32.08 eV for the cell shown
Crystal system   tetragonal
Raw formation energy   -469 kJ/mol of formula units
Fermi-level density of states   0.981 states/eV per atom
Density   5.30 Mg/m³

a b c (Å): 8.8184 8.8184 8.8184
angles (deg): 147.14 147.14 47.15
Last column: nearest neighbours and their distance in Å.
Sites, in units of the cell vectors:
Nd 0.0000 0.5000 0.5000  2 O 2.49
Nd 0.1576 0.1576 0.0000  1 O 2.55
Nd 0.5000 0.0000 0.5000  2 O 2.49
Nd 0.8424 0.8424 0.0000  1 O 2.55
Mg 0.3646 0.3646 0.0000  9 Nd 3.32-3.55
Mg 0.6354 0.6354 0.0000  9 Nd 3.32-3.55
O 0.0000 0.0000 0.0000  6 Nd 2.49-2.55

=====

Entry 3:
NdMg2OsO8: relaxed, PBE-GGA.

Computed properties:
V   145.33 Å³/cell
VASP energy   -80.85 eV for the cell shown
Crystal system   monoclinic
Raw formation energy   -2123 kJ/mol of formula units
Fermi-level density of states   0.147 states/eV per atom
Density   5.84 Mg/m³

a b c (Å): 4.5433 6.7600 4.7318
angles (deg): 90.00 90.29 90.00
Last column: nearest neighbours and their distance in Å.
Sites, in units of the cell vectors:
Nd 0.0000 0.0000 0.0000  6 O 2.40-2.43
Mg 0.5000 0.2651 0.5000  6 O 2.05-2.14
Mg 0.5000 0.7349 0.5000  6 O 2.05-2.14
Os 0.0000 0.5000 0.0000  6 O 1.87-1.88
O 0.2355 0.2983 0.8477  1 Os 1.88, 1 Mg 2.05
O 0.2355 0.7017 0.8477  1 Os 1.88, 1 Mg 2.05
O 0.2445 0.5000 0.3188  1 Os 1.87
O 0.2605 0.0000 0.4506  2 Mg 2.11, 1 O 2.22
O 0.7395 0.0000 0.5494  2 Mg 2.11, 1 O 2.22
O 0.7555 0.5000 0.6812  1 Os 1.87
O 0.7645 0.2983 0.1523  1 Os 1.88, 1 Mg 2.05
O 0.7645 0.7017 0.1523  1 Os 1.88, 1 Mg 2.05